Record 1
First-principles (GGA-PBE) data for crystalline CaHoTlCu at its relaxed geometry, as listed in the Alexandria database.

Computed properties:
Energy relative to the elements in meV/atom: -225
N(E_F) in states/eV per cell: 14.2

Cell lengths 7.3518, 7.3518, 7.3518 Å; angles 90.00, 90.00, 90.00 degrees
With the nearest neighbours (Å) after each atom.
Space group F-43m (No. 216)
Asymmetric unit:
Ca (0.0000, 0.0000, 0.0000)  4 Tl 3.18, 4 Cu 3.18
Ho (0.0000, 0.0000, 0.5000)  4 Tl 3.18, 4 Cu 3.18
Tl (0.2500, 0.2500, 0.7500)  4 Ca 3.18, 4 Ho 3.18
Cu (0.2500, 0.2500, 0.2500)  4 Ho 3.18, 4 Ca 3.18


Record 2
First-principles (GGA-PBE) data for crystalline CaHoZnCu at its relaxed geometry, as listed in the Alexandria database.

Computed properties:
Energy relative to the elements in meV/atom: -195
N(E_F) in states/eV per cell: 11.0
Offset from the most stable computed form in eV/atom: 0.0355

Cell lengths 7.0868, 7.0868, 7.0868 Å; angles 90.00, 90.00, 90.00 degrees
With the nearest neighbours (Å) after each atom.
Space group F-43m (No. 216)
Asymmetric unit:
Ca (0.0000, 0.0000, 0.0000)  4 Cu 3.07, 4 Zn 3.07
Ho (0.0000, 0.0000, 0.5000)  4 Zn 3.07, 4 Cu 3.07
Zn (0.2500, 0.2500, 0.2500)  4 Ho 3.07, 4 Ca 3.07
Cu (0.2500, 0.2500, 0.7500)  4 Ho 3.07, 4 Ca 3.07